A relaxed structure of Pm6NdHo8. Source: Alexandria via LeMat-Bulk, functional GGA-PBE.

The structure belongs to space group R-3 (No. 148, hexagonal axes); the cell edges are 9.0955, 9.0955 and 20.8022 Å and the angles 90.00°, 90.00° and 120.00°. The distinct sites, in fractional coordinates, are Pm at (0.0621, 0.8149, 0.2096), Nd at (0.0000, 0.0000, 0.5000), Ho at (0.0000, 0.0000, 0.0764) and Ho at (0.0802, 0.5258, 0.3081).

The total energy comes out at -4.533 eV/atom. The calculated volume is 1490.4 Å³/cell. As for the density of states at the Fermi level: 1.43 states/eV per atom. The calculation puts the formation enthalpy at 0 K at 0.13 eV per atom.